{
  "formula": "InRe2Au",
  "functional": "PBE",
  "state": "optimized geometry",
  "lattice": [[-1.951, 1.951, 4.464], [1.951, -1.951, 4.464], [1.951, 1.951, -4.464]],
  "species": ["In", "Re", "Re", "Au"],
  "frac_coords": [[0.000, 0.000, 0.000], [0.250, 0.750, 0.500], [0.750, 0.250, 0.500], [0.500, 0.500, 0.000]],
  "dos_at_fermi_per_ev_fu": 6.018,
  "spacegroup": "I4/mmm, No. 139",
  "magmom_total_mub_per_fu": 0.00,
  "final_energy_ry_per_atom": -0.5151,
  "formation_energy_mev_per_atom": 720
}

***

{
  "formula": "Ac2Sm2Y",
  "functional": "PBE",
  "state": "optimized geometry",
  "lattice": [[9.008, -3.395, 0.000], [9.008, 3.395, 0.000], [-2.152, 0.000, 6.234]],
  "species": ["Ac", "Ac", "Ac", "Ac", "Sm", "Sm", "Sm", "Sm", "Y", "Y"],
  "frac_coords": [[0.053, 0.331, 0.192], [0.331, 0.053, 0.692], [0.669, 0.947, 0.308], [0.947, 0.669, 0.808], [0.300, 0.524, 0.338], [0.476, 0.700, 0.162], [0.524, 0.300, 0.838], [0.700, 0.476, 0.662], [0.075, 0.925, 0.750], [0.925, 0.075, 0.250]],
  "dos_at_fermi_per_ev_fu": 7.334,
  "spacegroup": "C2/c, No. 15",
  "magmom_total_mub_per_fu": 0.00,
  "final_energy_ry_per_atom": -0.3479,
  "formation_energy_mev_per_atom": 90
}

***

What is the formula in the first record?
InRe2Au